# NbPtCl2, relaxed, DFT PBEsol
data_NbPtCl2
_chemical_formula_sum 'Nb4 Pt4 Cl8'
_symmetry_space_group_name_H-M 'I -4 2 d'
_symmetry_Int_Tables_number 122
_symmetry_space_group_name_Hall 'I -4 2bw'
_cell_length_a 8.662
_cell_length_b 8.662
_cell_length_c 4.952
_cell_angle_alpha 90.00
_cell_angle_beta 90.00
_cell_angle_gamma 90.00
loop_
_atom_site_label
_atom_site_type_symbol
_atom_site_fract_x
_atom_site_fract_y
_atom_site_fract_z
_atom_site_occupancy
Nb1 Nb 0.000 0.000 0.000 1
Pt1 Pt 0.000 0.000 0.500 1
Cl1 Cl 0.111 0.250 0.125 1
# Formation energy (no corrections): 3 kJ/mol of atoms
# Total moment: 2.549 μB/cell
# E: -5.416 eV/atom
# Mass density: 6.415 g/cm3



# CaCo2Cl, relaxed, DFT PBEsol
data_CaCo2Cl
_chemical_formula_sum 'Ca2 Co4 Cl2'
_symmetry_space_group_name_H-M 'I 4/m m m'
_symmetry_Int_Tables_number 139
_symmetry_space_group_name_Hall '-I 4 2'
_cell_length_a 3.561
_cell_length_b 3.561
_cell_length_c 11.141
_cell_angle_alpha 90.00
_cell_angle_beta 90.00
_cell_angle_gamma 90.00
loop_
_atom_site_label
_atom_site_type_symbol
_atom_site_fract_x
_atom_site_fract_y
_atom_site_fract_z
_atom_site_occupancy
Ca1 Ca 0.000 0.000 0.000 1
Co1 Co 0.000 0.500 0.250 1
Cl1 Cl 0.000 0.000 0.500 1
# Formation energy (no corrections): 6 kJ/mol of atoms
# Total moment: 6.638 μB/cell
# E: -4.839 eV/atom
# Mass density: 4.546 g/cm3



# CaAs2IO, relaxed, DFT PBEsol
data_CaAs2IO
_chemical_formula_sum 'Ca1 As2 I1 O1'
_symmetry_space_group_name_H-M 'P 4/m m m'
_symmetry_Int_Tables_number 123
_symmetry_space_group_name_Hall '-P 4 2'
_cell_length_a 4.218
_cell_length_b 4.218
_cell_length_c 6.362
_cell_angle_alpha 90.00
_cell_angle_beta 90.00
_cell_angle_gamma 90.00
loop_
_atom_site_label
_atom_site_type_symbol
_atom_site_fract_x
_atom_site_fract_y
_atom_site_fract_z
_atom_site_occupancy
Ca1 Ca 0.000 0.000 0.000 1
As1 As 0.000 0.500 0.500 1
I1 I 0.500 0.500 0.000 1
O1 O 0.500 0.500 0.500 1
# Formation energy (no corrections): -41 kJ/mol of atoms
# Total moment: 0.002 μB/cell
# E: -4.295 eV/atom
# Mass density: 4.884 g/cm3



# MgZr2Zn, relaxed, DFT PBEsol
data_MgZr2Zn
_chemical_formula_sum 'Mg1 Zr2 Zn1'
_symmetry_space_group_name_H-M 'P 4 m m'
_symmetry_Int_Tables_number 99
_symmetry_space_group_name_Hall 'P 4 -2'
_cell_length_a 3.068
_cell_length_b 3.068
_cell_length_c 8.450
_cell_angle_alpha 90.00
_cell_angle_beta 90.00
_cell_angle_gamma 90.00
loop_
_atom_site_label
_atom_site_type_symbol
_atom_site_fract_x
_atom_site_fract_y
_atom_site_fract_z
_atom_site_occupancy
Mg1 Mg 0.000 0.000 0.000 1
Zr1 Zr 0.000 0.000 0.445 1
Zr2 Zr 0.500 0.500 0.716 1
Zn1 Zn 0.500 0.500 0.214 1
# Energy of formation from the pure elements: -0.1078 eV/atom
# Total moment: 0.000 μB/cell
# E: -5.477 eV/atom
# Mass density: 5.684 g/cm3



# Be3N2, relaxed, DFT PBEsol
data_Be3N2
_chemical_formula_sum 'Be9 N6'
_symmetry_space_group_name_H-M 'R 3 m'
_symmetry_Int_Tables_number 160
_symmetry_space_group_name_Hall 'R 3 -2"'
_cell_length_a 2.8365
_cell_length_b 2.8365
_cell_length_c 14.5696
_cell_angle_alpha 90.00
_cell_angle_beta 90.00
_cell_angle_gamma 120.00
loop_
_atom_site_label
_atom_site_type_symbol
_atom_site_fract_x
_atom_site_fract_y
_atom_site_fract_z
_atom_site_occupancy
Be1 Be 0.0000 0.0000 0.0000 1
Be2 Be 0.0000 0.0000 0.2288 1
Be3 Be 0.0000 0.0000 0.7701 1
N1 N 0.0000 0.0000 0.1153 1
N2 N 0.0000 0.0000 0.6196 1
# Formation energy (no corrections): -109 kJ/mol of atoms
# Total moment: 0.000 μB/cell
# E: -6.938 eV/atom
# Mass density: 2.701 g/cm3



# CaHf2Co, relaxed, DFT PBEsol
data_CaHf2Co
_chemical_formula_sum 'Ca4 Hf8 Co4'
_symmetry_space_group_name_H-M 'F m -3 m'
_symmetry_Int_Tables_number 225
_symmetry_space_group_name_Hall '-F 4 2 3'
_cell_length_a 6.650
_cell_length_b 6.650
_cell_length_c 6.650
_cell_angle_alpha 90.00
_cell_angle_beta 90.00
_cell_angle_gamma 90.00
loop_
_atom_site_label
_atom_site_type_symbol
_atom_site_fract_x
_atom_site_fract_y
_atom_site_fract_z
_atom_site_occupancy
Ca1 Ca 0.000 0.000 0.000 1
Hf1 Hf 0.250 0.250 0.250 1
Co1 Co 0.000 0.000 0.500 1
# Energy of formation from the pure elements: 0.4713 eV/atom
# Total moment: 0.023 μB/cell
# E: -7.248 eV/atom
# Mass density: 10.297 g/cm3



# YCrNi2, relaxed, DFT PBEsol
data_YCrNi2
_chemical_formula_sum 'Y2 Cr2 Ni4'
_symmetry_space_group_name_H-M 'I m m 2'
_symmetry_Int_Tables_number 44
_symmetry_space_group_name_Hall 'I 2 -2'
_cell_length_a 3.777
_cell_length_b 3.788
_cell_length_c 8.406
_cell_angle_alpha 90.00
_cell_angle_beta 90.00
_cell_angle_gamma 90.00
loop_
_atom_site_label
_atom_site_type_symbol
_atom_site_fract_x
_atom_site_fract_y
_atom_site_fract_z
_atom_site_occupancy
Y1 Y 0.000 0.000 0.000 1
Cr1 Cr 0.000 0.500 0.250 1
Ni1 Ni 0.000 0.000 0.500 1
Ni2 Ni 0.000 0.500 0.750 1
# Energy of formation from the pure elements: 0.1753 eV/atom
# Total moment: 8.415 μB/cell
# E: -7.169 eV/atom
# Mass density: 7.133 g/cm3



# FeGeSeN2, relaxed, DFT PBEsol
data_FeGeSeN2
_chemical_formula_sum 'Fe1 Ge1 Se1 N2'
_symmetry_space_group_name_H-M 'P 4/m m m'
_symmetry_Int_Tables_number 123
_symmetry_space_group_name_Hall '-P 4 2'
_cell_length_a 3.624
_cell_length_b 3.624
_cell_length_c 5.685
_cell_angle_alpha 90.00
_cell_angle_beta 90.00
_cell_angle_gamma 90.00
loop_
_atom_site_label
_atom_site_type_symbol
_atom_site_fract_x
_atom_site_fract_y
_atom_site_fract_z
_atom_site_occupancy
Fe1 Fe 0.000 0.000 0.000 1
Ge1 Ge 0.500 0.500 0.500 1
Se1 Se 0.500 0.500 0.000 1
N1 N 0.000 0.500 0.500 1
# Formation energy (no corrections): 113 kJ/mol of atoms
# Total moment: 4.501 μB/cell
# E: -5.790 eV/atom
# Mass density: 5.238 g/cm3



# TaTl3Br, relaxed, DFT PBEsol
data_TaTl3Br
_chemical_formula_sum 'Ta1 Tl3 Br1'
_symmetry_space_group_name_H-M 'P m -3 m'
_symmetry_Int_Tables_number 221
_symmetry_space_group_name_Hall '-P 4 2 3'
_cell_length_a 5.696
_cell_length_b 5.696
_cell_length_c 5.696
_cell_angle_alpha 90.00
_cell_angle_beta 90.00
_cell_angle_gamma 90.00
loop_
_atom_site_label
_atom_site_type_symbol
_atom_site_fract_x
_atom_site_fract_y
_atom_site_fract_z
_atom_site_occupancy
Ta1 Ta 0.000 0.000 0.000 1
Tl1 Tl 0.000 0.500 0.500 1
Br1 Br 0.500 0.500 0.500 1
# Formation energy (no corrections): 130 kJ/mol of atoms
# Total moment: 3.670 μB/cell
# E: -3.111 eV/atom
# Mass density: 7.855 g/cm3



# TiTeP3O12, relaxed, DFT PBEsol
data_TiTeP3O12
_chemical_formula_sum 'Ti6 Te6 P18 O72'
_symmetry_space_group_name_H-M 'R 3 c'
_symmetry_Int_Tables_number 161
_symmetry_space_group_name_Hall 'R 3 -2"c'
_cell_length_a 8.6229
_cell_length_b 8.6229
_cell_length_c 22.3655
_cell_angle_alpha 90.00
_cell_angle_beta 90.00
_cell_angle_gamma 120.00
loop_
_atom_site_label
_atom_site_type_symbol
_atom_site_fract_x
_atom_site_fract_y
_atom_site_fract_z
_atom_site_occupancy
Ti1 Ti 0.0000 0.0000 0.0000 1
Te1 Te 0.0000 0.0000 0.2117 1
P1 P 0.0032 0.2890 0.1063 1
O1 O 0.0169 0.1886 0.7680 1
O2 O 0.0271 0.1963 0.0524 1
O3 O 0.1626 0.4454 0.8306 1
O4 O 0.1719 0.4688 0.1180 1
# Formation energy (no corrections): -200 kJ/mol of atoms
# Total moment: 0.001 μB/cell
# E: -7.496 eV/atom
# Mass density: 3.185 g/cm3



# Sr2ScSi, relaxed, DFT PBEsol
data_Sr2ScSi
_chemical_formula_sum 'Sr2 Sc1 Si1'
_symmetry_space_group_name_H-M 'P 4 m m'
_symmetry_Int_Tables_number 99
_symmetry_space_group_name_Hall 'P 4 -2'
_cell_length_a 3.732
_cell_length_b 3.732
_cell_length_c 9.072
_cell_angle_alpha 90.00
_cell_angle_beta 90.00
_cell_angle_gamma 90.00
loop_
_atom_site_label
_atom_site_type_symbol
_atom_site_fract_x
_atom_site_fract_y
_atom_site_fract_z
_atom_site_occupancy
Sr1 Sr 0.000 0.000 0.000 1
Sr2 Sr 0.500 0.500 0.375 1
Sc1 Sc 0.000 0.000 0.659 1
Si1 Si 0.500 0.500 0.743 1
# Formation energy (no corrections): -15 kJ/mol of atoms
# Total moment: 0.787 μB/cell
# E: -4.160 eV/atom
# Mass density: 3.263 g/cm3



# Sr5Cu, relaxed, DFT PBEsol
data_Sr5Cu
_chemical_formula_sum 'Sr10 Cu2'
_symmetry_space_group_name_H-M 'C 1 m 1'
_symmetry_Int_Tables_number 8
_symmetry_space_group_name_Hall 'C -2y'
_cell_length_a 13.799
_cell_length_b 4.108
_cell_length_c 9.495
_cell_angle_alpha 90.00
_cell_angle_beta 102.01
_cell_angle_gamma 90.00
loop_
_atom_site_label
_atom_site_type_symbol
_atom_site_fract_x
_atom_site_fract_y
_atom_site_fract_z
_atom_site_occupancy
Sr1 Sr 0.000 0.000 0.000 1
Sr2 Sr 0.081 0.000 0.425 1
Sr3 Sr 0.198 0.500 0.797 1
Sr4 Sr 0.298 0.000 0.212 1
Sr5 Sr 0.392 0.000 0.626 1
Cu1 Cu 0.252 0.500 0.455 1
# Energy of formation from the pure elements: 0.0466 eV/atom
# Total moment: 0.000 μB/cell
# E: -2.209 eV/atom
# Mass density: 3.165 g/cm3